1.
{"formula": "V5FeRu6", "functional": "PBE", "state": "optimized geometry", "delta_e_f_ev_per_atom": -0.21, "magnetic_moment_mub_per_fu": 2.61, "density_kg_m3": 9365, "lattice_angstrom": [[2.127, -6.377, 0.000], [2.127, 6.377, 0.000], [0.000, 0.000, 5.995]], "species": ["V", "V", "V", "V", "V", "Fe", "Ru", "Ru", "Ru", "Ru", "Ru", "Ru"], "frac_coords": [[0.000, 0.000, 0.000], [0.334, 0.666, 0.000], [0.341, 0.659, 0.500], [0.659, 0.341, 0.500], [0.666, 0.334, 0.000], [0.000, 0.000, 0.500], [0.170, 0.830, 0.251], [0.170, 0.830, 0.749], [0.500, 0.500, 0.247], [0.500, 0.500, 0.753], [0.830, 0.170, 0.251], [0.830, 0.170, 0.749]]}


2.
{"formula": "V2FeRu4", "functional": "PBE", "state": "optimized geometry", "delta_e_f_ev_per_atom": 0.08, "magnetic_moment_mub_per_fu": 3.34, "density_kg_m3": 9234, "lattice_angstrom": [[2.072, 1.196, 6.793], [-2.072, 1.196, 6.793], [0.000, -2.393, 6.793]], "species": ["V", "V", "Fe", "Ru", "Ru", "Ru", "Ru"], "frac_coords": [[0.246, 0.246, 0.246], [0.754, 0.754, 0.754], [0.000, 0.000, 0.000], [0.127, 0.127, 0.127], [0.376, 0.376, 0.376], [0.624, 0.624, 0.624], [0.873, 0.873, 0.873]]}


3.
{"formula": "VFeRu4", "functional": "PBE", "state": "optimized geometry", "delta_e_f_ev_per_atom": 0.11, "magnetic_moment_mub_per_fu": 2.31, "density_kg_m3": 10337, "lattice_angstrom": [[4.219, 0.000, 0.000], [-2.109, 3.653, 0.000], [0.000, 0.000, 5.326]], "species": ["V", "Fe", "Ru", "Ru", "Ru", "Ru"], "frac_coords": [[0.000, 0.000, 0.000], [0.000, 0.000, 0.500], [0.333, 0.667, 0.130], [0.333, 0.667, 0.629], [0.667, 0.333, 0.371], [0.667, 0.333, 0.870]]}